Entry one
## Li3FeO3 (PBE+U)

Data for a geometry-optimized Li3FeO3 structure.

Output
* density of states at the Fermi level: 0.0 states/eV/f.u.

a = 5.418 Å, b = 11.315 Å, c = 5.732 Å
α = 90.00°, β = 121.90°, γ = 90.00°
Element x y z (fractional)
Li 0.000 0.000 0.235
Li 0.000 0.000 0.765
Li 0.000 0.500 0.265
Li 0.000 0.500 0.735
Li 0.038 0.250 0.267
Li 0.038 0.250 0.767
Li 0.415 0.124 0.705
Li 0.415 0.376 0.205
Li 0.585 0.624 0.795
Li 0.585 0.876 0.295
Li 0.962 0.750 0.233
Li 0.962 0.750 0.733
Fe 0.437 0.641 0.221
Fe 0.437 0.859 0.721
Fe 0.563 0.141 0.279
Fe 0.563 0.359 0.779
O 0.027 0.631 0.015
O 0.027 0.869 0.515
O 0.320 0.010 0.160
O 0.320 0.490 0.660
O 0.468 0.250 0.482
O 0.468 0.250 0.982
O 0.532 0.750 0.018
O 0.532 0.750 0.518
O 0.680 0.510 0.340
O 0.680 0.990 0.840
O 0.973 0.131 0.485
O 0.973 0.369 0.985

Entry two
## Li3FeO3 (PBE+U)

Data for a geometry-optimized Li3FeO3 structure.

Output
* density of states at the Fermi level: 0.0 states/eV/f.u.

a = 5.897 Å, b = 5.892 Å, c = 8.416 Å
α = 90.00°, β = 90.00°, γ = 90.00°
Element x y z (fractional)
Li 0.005 0.018 0.249
Li 0.005 0.482 0.249
Li 0.248 0.750 0.976
Li 0.252 0.250 0.476
Li 0.495 0.518 0.749
Li 0.495 0.982 0.749
Li 0.505 0.018 0.251
Li 0.505 0.482 0.251
Li 0.748 0.750 0.524
Li 0.752 0.250 0.024
Li 0.995 0.518 0.751
Li 0.995 0.982 0.751
Fe 0.217 0.250 0.017
Fe 0.283 0.750 0.517
Fe 0.717 0.250 0.483
Fe 0.783 0.750 0.983
O 0.000 0.000 0.000
O 0.000 0.500 0.000
O 0.025 0.750 0.389
O 0.240 0.750 0.738
O 0.260 0.250 0.238
O 0.475 0.250 0.889
O 0.500 0.000 0.500
O 0.500 0.500 0.500
O 0.525 0.750 0.111
O 0.740 0.750 0.762
O 0.760 0.250 0.262
O 0.975 0.250 0.611

Stability, highest: entry two

Entry one
## Li5Fe11O16 (PBE+U)

Data for a geometry-optimized Li5Fe11O16 structure.

a = 6.117 Å, b = 12.132 Å, c = 10.468 Å
α = 90.00°, β = 125.74°, γ = 90.00°
Element x y z (fractional)
Li 0.000 0.000 0.000
Li 0.000 0.500 0.500
Li 0.010 0.246 0.000
Li 0.010 0.254 0.500
Li 0.490 0.127 0.243
Li 0.490 0.373 0.743
Li 0.510 0.627 0.257
Li 0.510 0.873 0.757
Li 0.990 0.746 0.500
Li 0.990 0.754 0.000
Fe 0.000 0.000 0.500
Fe 0.000 0.500 0.000
Fe 0.002 0.126 0.754
Fe 0.002 0.374 0.254
Fe 0.005 0.628 0.260
Fe 0.005 0.872 0.760
Fe 0.490 0.629 0.742
Fe 0.490 0.871 0.242
Fe 0.496 0.749 0.500
Fe 0.496 0.751 0.000
Fe 0.500 0.000 0.000
Fe 0.500 0.000 0.500
Fe 0.500 0.500 0.000
Fe 0.500 0.500 0.500
Fe 0.504 0.249 0.000
Fe 0.504 0.251 0.500
Fe 0.510 0.129 0.758
Fe 0.510 0.371 0.258
Fe 0.995 0.128 0.240
Fe 0.995 0.372 0.740
Fe 0.998 0.626 0.746
Fe 0.998 0.874 0.246
O 0.223 0.748 0.244
O 0.223 0.752 0.744
O 0.225 0.501 0.245
O 0.225 0.999 0.745
O 0.228 0.249 0.744
O 0.228 0.251 0.244
O 0.238 0.624 0.497
O 0.238 0.876 0.997
O 0.242 0.001 0.257
O 0.242 0.499 0.757
O 0.257 0.125 0.990
O 0.257 0.375 0.490
O 0.259 0.622 0.991
O 0.259 0.878 0.491
O 0.261 0.119 0.500
O 0.261 0.381 0.000
O 0.739 0.619 0.000
O 0.739 0.881 0.500
O 0.741 0.122 0.509
O 0.741 0.378 0.009
O 0.743 0.625 0.510
O 0.743 0.875 0.010
O 0.758 0.501 0.243
O 0.758 0.999 0.743
O 0.762 0.124 0.003
O 0.762 0.376 0.503
O 0.772 0.749 0.756
O 0.772 0.751 0.256
O 0.775 0.001 0.255
O 0.775 0.499 0.755
O 0.777 0.248 0.256
O 0.777 0.252 0.756

Entry two
## Li5Fe11O16 (PBE+U)

Data for a geometry-optimized Li5Fe11O16 structure.

a = 5.946 Å, b = 5.960 Å, c = 10.255 Å
α = 73.62°, β = 73.88°, γ = 60.71°
Element x y z (fractional)
Li 0.000 0.000 0.000
Li 0.001 0.490 0.005
Li 0.013 0.004 0.491
Li 0.497 0.488 0.007
Li 0.507 0.492 0.499
Fe 0.011 0.498 0.497
Fe 0.249 0.734 0.756
Fe 0.252 0.239 0.751
Fe 0.254 0.249 0.245
Fe 0.259 0.741 0.251
Fe 0.503 0.982 0.002
Fe 0.514 0.991 0.498
Fe 0.755 0.239 0.748
Fe 0.755 0.737 0.752
Fe 0.760 0.746 0.246
Fe 0.763 0.249 0.242
O 0.131 0.120 0.630
O 0.137 0.600 0.136
O 0.143 0.108 0.122
O 0.144 0.589 0.633
O 0.367 0.890 0.871
O 0.383 0.891 0.371
O 0.402 0.338 0.865
O 0.402 0.353 0.376
O 0.611 0.122 0.126
O 0.612 0.121 0.634
O 0.628 0.626 0.120
O 0.635 0.613 0.625
O 0.855 0.892 0.870
O 0.871 0.882 0.376
O 0.894 0.350 0.855
O 0.905 0.369 0.364

Stability, highest: entry one

Entry one
## Li5Fe5O12 (PBE+U)

Data for a geometry-optimized Li5Fe5O12 structure.

Output
* density of states at the Fermi level: 1.0 states/eV/f.u.

a = 4.985 Å, b = 5.025 Å, c = 10.050 Å
α = 84.35°, β = 87.09°, γ = 61.11°
Element x y z (fractional)
Li 0.000 0.000 0.000
Li 0.019 0.545 0.497
Li 0.326 0.296 0.232
Li 0.367 0.889 0.500
Li 0.674 0.646 0.001
Fe 0.014 0.695 0.760
Fe 0.346 0.032 0.762
Fe 0.663 0.619 0.260
Fe 0.680 0.362 0.753
Fe 0.993 0.959 0.263
O 0.051 0.026 0.653
O 0.314 0.641 0.367
O 0.330 0.707 0.869
O 0.331 0.932 0.155
O 0.337 0.380 0.659
O 0.683 0.005 0.861
O 0.692 0.898 0.365
O 0.696 0.703 0.650
O 0.703 0.303 0.155
O 0.956 0.690 0.153
O 0.982 0.270 0.360
O 0.985 0.359 0.866

Entry two
## Li5Fe5O12 (PBE+U)

Data for a geometry-optimized Li5Fe5O12 structure.

Output
* density of states at the Fermi level: 1.2 states/eV/f.u.

a = 4.999 Å, b = 4.999 Å, c = 10.216 Å
α = 95.23°, β = 95.23°, γ = 119.01°
Element x y z (fractional)
Li 0.000 0.000 0.000
Li 0.247 0.588 0.746
Li 0.412 0.753 0.254
Li 0.595 0.251 0.743
Li 0.749 0.405 0.257
Fe 0.174 0.826 0.500
Fe 0.333 0.667 0.000
Fe 0.510 0.490 0.500
Fe 0.667 0.333 0.000
Fe 0.844 0.156 0.500
O 0.034 0.666 0.105
O 0.155 0.486 0.392
O 0.221 0.197 0.601
O 0.334 0.966 0.895
O 0.410 0.407 0.106
O 0.493 0.134 0.393
O 0.514 0.845 0.608
O 0.593 0.590 0.894
O 0.670 0.039 0.105
O 0.803 0.779 0.399
O 0.866 0.507 0.607
O 0.961 0.330 0.895

Stability, highest: entry one

Entry one
## LiFeP2O7 (PBE+U)

Data for a geometry-optimized LiFeP2O7 structure.

Output
* density of states at the Fermi level: 0.0 states/eV/f.u.

a = 6.965 Å, b = 8.190 Å, c = 9.487 Å
α = 90.00°, β = 108.56°, γ = 90.00°
Element x y z (fractional)
Li 0.234 0.100 0.469
Li 0.234 0.400 0.969
Li 0.766 0.600 0.031
Li 0.766 0.900 0.531
Fe 0.222 0.721 0.506
Fe 0.222 0.779 0.006
Fe 0.778 0.221 0.994
Fe 0.778 0.279 0.494
P 0.041 0.092 0.800
P 0.041 0.408 0.300
P 0.434 0.528 0.292
P 0.434 0.972 0.792
P 0.566 0.028 0.208
P 0.566 0.472 0.708
P 0.959 0.592 0.700
P 0.959 0.908 0.200
O 0.008 0.236 0.893
O 0.008 0.264 0.393
O 0.029 0.574 0.368
O 0.029 0.926 0.868
O 0.095 0.594 0.864
O 0.095 0.906 0.364
O 0.272 0.115 0.797
O 0.272 0.385 0.297
O 0.364 0.561 0.661
O 0.364 0.939 0.161
O 0.376 0.579 0.126
O 0.376 0.921 0.626
O 0.422 0.668 0.395
O 0.422 0.832 0.895
O 0.578 0.168 0.105
O 0.578 0.332 0.605
O 0.624 0.079 0.374
O 0.624 0.421 0.874
O 0.636 0.061 0.839
O 0.636 0.439 0.339
O 0.728 0.615 0.703
O 0.728 0.885 0.203
O 0.905 0.094 0.636
O 0.905 0.406 0.136
O 0.971 0.074 0.132
O 0.971 0.426 0.632
O 0.992 0.736 0.607
O 0.992 0.764 0.107

Entry two
## LiFeP2O7 (PBE+U)

Data for a geometry-optimized LiFeP2O7 structure.

Output
* density of states at the Fermi level: 0.0 states/eV/f.u.

a = 6.263 Å, b = 6.444 Å, c = 7.991 Å
α = 98.32°, β = 105.07°, γ = 112.99°
Element x y z (fractional)
Li 0.000 0.000 0.000
Li 0.000 0.000 0.500
Fe 0.395 0.688 0.234
Fe 0.605 0.312 0.766
P 0.169 0.439 0.780
P 0.447 0.226 0.314
P 0.553 0.774 0.686
P 0.831 0.561 0.220
O 0.108 0.654 0.304
O 0.239 0.233 0.757
O 0.271 0.590 0.648
O 0.279 0.317 0.201
O 0.279 0.597 0.970
O 0.405 0.993 0.200
O 0.411 0.215 0.495
O 0.589 0.785 0.505
O 0.595 0.007 0.800
O 0.721 0.403 0.030
O 0.721 0.683 0.799
O 0.729 0.410 0.352
O 0.761 0.767 0.243
O 0.892 0.346 0.696

Entry three
## LiFeP2O7 (PBE+U)

Data for a geometry-optimized LiFeP2O7 structure.

Output
* density of states at the Fermi level: 0.0 states/eV/f.u.

a = 6.361 Å, b = 6.418 Å, c = 6.926 Å
α = 84.90°, β = 67.13°, γ = 82.13°
Element x y z (fractional)
Li 0.206 0.001 0.336
Li 0.794 0.999 0.664
Fe 0.403 0.353 0.722
Fe 0.597 0.647 0.278
P 0.156 0.610 0.143
P 0.286 0.865 0.730
P 0.714 0.135 0.270
P 0.844 0.390 0.857
O 0.095 0.402 0.715
O 0.111 0.947 0.640
O 0.150 0.793 0.969
O 0.276 0.408 0.028
O 0.284 0.690 0.264
O 0.438 0.032 0.739
O 0.447 0.667 0.618
O 0.553 0.333 0.382
O 0.562 0.968 0.261
O 0.716 0.310 0.736
O 0.724 0.592 0.972
O 0.850 0.207 0.031
O 0.889 0.053 0.360
O 0.905 0.598 0.285

Stability, highest: entry three

Entry one
## LiFeP2O7 (PBE+U)

Data for a geometry-optimized LiFeP2O7 structure.

Output
* density of states at the Fermi level: 0.0 states/eV/f.u.

a = 5.405 Å, b = 5.405 Å, c = 9.353 Å
α = 101.99°, β = 101.99°, γ = 99.71°
Element x y z (fractional)
Li 0.186 0.814 0.500
Li 0.814 0.186 0.000
Fe 0.261 0.903 0.955
Fe 0.903 0.261 0.455
P 0.333 0.348 0.267
P 0.348 0.333 0.767
P 0.712 0.743 0.183
P 0.743 0.712 0.683
O 0.146 0.435 0.361
O 0.150 0.178 0.618
O 0.178 0.150 0.118
O 0.247 0.544 0.857
O 0.435 0.146 0.861
O 0.450 0.607 0.225
O 0.544 0.247 0.357
O 0.544 0.828 0.601
O 0.605 0.924 0.089
O 0.607 0.450 0.725
O 0.828 0.544 0.101
O 0.892 0.907 0.337
O 0.907 0.892 0.837
O 0.924 0.605 0.589

Entry two
## LiFeP2O7 (PBE+U)

Data for a geometry-optimized LiFeP2O7 structure.

Output
* density of states at the Fermi level: 0.0 states/eV/f.u.

a = 5.268 Å, b = 5.268 Å, c = 4.550 Å
α = 98.54°, β = 98.54°, γ = 102.45°
Element x y z (fractional)
Li 0.000 0.000 0.000
Fe 0.625 0.375 0.000
P 0.082 0.503 0.590
P 0.497 0.918 0.410
O 0.223 0.777 0.500
O 0.287 0.378 0.745
O 0.402 0.095 0.198
O 0.622 0.713 0.255
O 0.677 0.066 0.711
O 0.905 0.598 0.802
O 0.934 0.323 0.289

Stability, highest: entry two